# GeMoS3

A relaxed structure of GeMoS3 (PBE, Alexandria).

**Energy**: -23.8 eV per cell
**Formation energy without anion corrections**: 0.811 eV/atom
**Energy above the most stable polymorph in this dataset**: 3.168 eV/f.u.

Cell lengths 4.6416, 4.6416, 4.6416 Å; angles 90.00, 90.00, 90.00 degrees
Closest atoms and distances in Å follow each position.
Sites, in units of the cell vectors:
Ge 0.0000 0.0000 0.0000  6 S 2.32
Mo 0.5000 0.5000 0.5000  12 S 3.28
S 0.0000 0.0000 0.5000  2 Ge 2.32
S 0.0000 0.5000 0.0000  2 Ge 2.32
S 0.5000 0.0000 0.0000  2 Ge 2.32